[1]
AgSbW2 (PBE, optimized geometry); DFT total energy = -7.481 eV/atom; uncorrected formation energy = 739 meV/atom
1.0
-1.643 2.322 4.694
1.643 -2.322 4.694
1.643 2.322 -4.694
Ag Sb W
1 1 2
Direct
0.000 0.000 0.000
0.500 0.500 0.000
0.263 0.763 0.500
0.737 0.237 0.500



[2]
ScAuSe2 (PBE, optimized geometry); DFT total energy = -4.554 eV/atom; uncorrected formation energy = -409 meV/atom
1.0
1.473 -12.310 0.000
1.473 12.310 0.000
0.000 0.000 5.014
Sc Au Se
2 2 4
Direct
0.074 0.926 0.750
0.926 0.074 0.250
0.326 0.674 0.750
0.674 0.326 0.250
0.043 0.957 0.250
0.181 0.819 0.750
0.819 0.181 0.250
0.957 0.043 0.750



[3]
BaTaRe2 (PBE, optimized geometry); energy above the most stable polymorph in this dataset = 0.673 eV per atom; DFT total energy = -8.345 eV/atom; formation enthalpy at 0 K = 1.323 eV per atom
1.0
3.032 -4.734 0.000
3.032 4.734 0.000
-1.065 0.000 2.699
Ba Ta Re
1 1 2
Direct
0.000 0.000 0.000
0.500 0.500 0.000
0.000 0.500 0.500
0.500 0.000 0.500



[4]
KFe2GeIr (PBE, optimized geometry); DFT total energy = -3.793 eV/atom; formation enthalpy at 0 K = 2.507 eV per atom
1.0
4.408 0.000 0.000
0.000 4.408 0.000
0.000 0.000 4.943
K Fe Ge Ir
1 2 1 1
Direct
0.000 0.000 0.000
0.000 0.500 0.000
0.500 0.000 0.000
0.500 0.500 0.500
0.000 0.000 0.500



[5]
KNaIn2I6 (PBE, optimized geometry); DFT total energy = -2.525 eV/atom; uncorrected formation energy = -805 meV/atom
1.0
4.205 2.428 7.167
-4.205 2.428 7.167
0.000 -4.856 7.167
K Na In I
1 1 2 6
Direct
0.000 0.000 0.000
0.498 0.498 0.498
0.199 0.199 0.199
0.696 0.696 0.696
0.055 0.792 0.467
0.347 0.574 0.903
0.467 0.055 0.792
0.574 0.903 0.347
0.792 0.467 0.055
0.903 0.347 0.574



[6]
ZnCoH (PBE, optimized geometry); energy above the most stable polymorph in this dataset = 0.017 eV per atom; DFT total energy = -3.904 eV/atom
1.0
4.885 0.000 0.000
0.000 4.521 0.000
-1.604 0.000 5.032
Zn Co H
4 4 4
Direct
0.156 0.136 0.368
0.156 0.364 0.868
0.844 0.636 0.132
0.844 0.864 0.632
0.396 0.651 0.294
0.396 0.849 0.794
0.604 0.151 0.206
0.604 0.349 0.706
0.308 0.580 0.569
0.308 0.920 0.069
0.692 0.080 0.931
0.692 0.420 0.431